No. 1
Below is a relaxed BaH6N2Cl crystal, with properties calculated at the PBE level.

```
BaH6N2Cl
1.0
2.6404 -6.9703 0.0000
2.6404 6.9703 0.0000
-2.2871 0.0000 9.7346
Ba H N Cl
2 12 4 2
direct
0.2378 0.7622 0.7500
0.7622 0.2378 0.2500
0.0036 0.7927 0.1199
0.2073 0.9964 0.3801
0.2872 0.5048 0.9766
0.2944 0.3693 0.8416
0.3693 0.2944 0.3416
0.4952 0.7128 0.5234
0.5048 0.2872 0.4766
0.6307 0.7056 0.6584
0.7056 0.6307 0.1584
0.7128 0.4952 0.0234
0.7927 0.0036 0.6199
0.9964 0.2073 0.8801
0.1899 0.3988 0.8758
0.3988 0.1899 0.3758
0.6012 0.8101 0.6242
0.8101 0.6012 0.1242
0.3819 0.6181 0.2500
0.6181 0.3819 0.7500
```

E_tot = -4.696 eV/atom

=====

No. 2
Below is a relaxed AcMgZn2Ge2 crystal, with properties calculated at the PBE level.

```
AcMgZn2Ge2
1.0
4.4761 0.0000 0.0000
-2.2381 3.8764 0.0000
0.0000 0.0000 7.3640
Ac Mg Zn Ge
1 1 2 2
direct
0.0000 0.0000 0.0000
0.0000 0.0000 0.5000
0.3333 0.6667 0.6756
0.6667 0.3333 0.3244
0.3333 0.6667 0.2786
0.6667 0.3333 0.7214
```

E_tot = -3.312 eV/atom

=====

No. 3
Below is a relaxed PrDyTlAg crystal, with properties calculated at the PBE level.

```
PrDyTlAg
1.0
3.7080 0.0000 0.0000
0.0000 3.7080 0.0000
0.0000 0.0000 7.9186
Pr Dy Tl Ag
1 1 1 1
direct
0.0000 0.0000 0.0000
0.0000 0.0000 0.5295
0.5000 0.5000 0.2749
0.5000 0.5000 0.7367
```

Energy above the lowest structure with this stoichiometry = 0.000 eV/atom

=====

| no. | spin magnetization (Bohr magnetons per cell) |
| --- | --- |
| 1 | 0.0 |
| 2 | 0.0 |
| 3 | 0.1 |